No. 1
# PBE-GGA CrTc2Pt, relaxed
data_CrTc2Pt
_space_group_name_H-M_alt 'P 1'
_space_group_IT_number 1
_space_group_name_Hall 'P 1'
_cell_length_a 4.191
_cell_length_b 2.699
_cell_length_c 5.194
_cell_angle_alpha 75.01
_cell_angle_beta 90.00
_cell_angle_gamma 90.00
loop_
_atom_site_label
_atom_site_type_symbol
_atom_site_fract_x
_atom_site_fract_y
_atom_site_fract_z
_atom_site_occupancy
Pt1 Pt 0.500 0.701 0.723 1
Tc1 Tc 0.000 0.050 0.025 1
Tc2 Tc 0.500 0.437 0.252 1
Cr1 Cr 0.000 0.312 0.500 1
# ΔE to the lowest computed polymorph = 93 meV per atom
# V = 56.8 Å³/cell
# Calculated total energy = -9.103 eV/atom
# E_form = 0.00 eV per atom
# DOS(E_F) = 1.15 states/eV/atom

---

No. 2
# PBE-GGA HoSc2Sn, relaxed
data_HoSc2Sn
_space_group_name_H-M_alt 'P 1'
_space_group_IT_number 1
_space_group_name_Hall 'P 1'
_cell_length_a 4.578
_cell_length_b 4.614
_cell_length_c 4.614
_cell_angle_alpha 90.00
_cell_angle_beta 90.00
_cell_angle_gamma 90.00
loop_
_atom_site_label
_atom_site_type_symbol
_atom_site_fract_x
_atom_site_fract_y
_atom_site_fract_z
_atom_site_occupancy
Sc1 Sc 0.000 0.000 0.500 1
Sc2 Sc 0.000 0.500 0.000 1
Ho1 Ho 0.500 0.000 0.000 1
Sn1 Sn 0.500 0.500 0.500 1
# ΔE to the lowest computed polymorph = 49 meV per atom
# V = 97.5 Å³/cell
# Calculated total energy = -5.718 eV/atom
# E_form = -0.41 eV per atom
# DOS(E_F) = 1.28 states/eV/atom

---

No. 3
# PBE-GGA NiBRu, relaxed
data_NiBRu
_space_group_name_H-M_alt 'P 1'
_space_group_IT_number 1
_space_group_name_Hall 'P 1'
_cell_length_a 3.584
_cell_length_b 3.584
_cell_length_c 3.584
_cell_angle_alpha 60.00
_cell_angle_beta 60.00
_cell_angle_gamma 60.00
loop_
_atom_site_label
_atom_site_type_symbol
_atom_site_fract_x
_atom_site_fract_y
_atom_site_fract_z
_atom_site_occupancy
Ru1 Ru 0.000 0.000 0.000 1
B1 B 0.250 0.250 0.250 1
Ni1 Ni 0.500 0.500 0.500 1
# V = 32.6 Å³/cell
# Calculated total energy = -7.361 eV/atom
# E_form = -0.12 eV per atom
# DOS(E_F) = 1.27 states/eV/atom